# 1
Computed, not measured: an optimized crystal structure of PuCuCl2 at the PBE-GGA level of DFT.

abc: 8.562 8.562 8.562
angles: 24.32 24.32 24.32
Fractional positions:
1 Pu 0.000 0.000 0.000
2 Cu 0.500 0.500 0.500
3 Cl 0.110 0.110 0.110
4 Cl 0.890 0.890 0.890

Values from the calculation:
DOS(E_F) ... 9.1 states/eV/f.u.
Formation energy from raw total energies ... -0.529 eV per atom
Space group ... R-3m
Size of the total moment ... 6.29 μB per cell

# 2
Computed, not measured: an optimized crystal structure of Ba2InRhN at the PBE-GGA level of DFT.

abc: 7.364 4.355 9.827
angles: 90.00 110.53 90.00
Fractional positions:
1 Ba 0.147 0.250 0.371
2 Ba 0.239 0.750 0.029
3 Ba 0.761 0.250 0.971
4 Ba 0.853 0.750 0.629
5 In 0.394 0.750 0.698
6 In 0.606 0.250 0.302
7 Rh 0.226 0.250 0.752
8 Rh 0.774 0.750 0.248
9 N 0.025 0.250 0.833
10 N 0.975 0.750 0.167

Values from the calculation:
DOS(E_F) ... 3.4 states/eV/f.u.
Formation energy from raw total energies ... -0.366 eV per atom
Space group ... P2_1/m
Size of the total moment ... 0.01 μB per cell

# 3
Computed, not measured: an optimized crystal structure of CaHo2Zn9 at the PBE-GGA level of DFT.

abc: 9.094 9.094 9.094
angles: 35.12 35.12 35.12
Fractional positions:
1 Ca 0.000 0.000 0.000
2 Ho 0.142 0.142 0.142
3 Ho 0.858 0.858 0.858
4 Zn 0.076 0.587 0.587
5 Zn 0.335 0.335 0.335
6 Zn 0.413 0.413 0.924
7 Zn 0.413 0.924 0.413
8 Zn 0.500 0.500 0.500
9 Zn 0.587 0.076 0.587
10 Zn 0.587 0.587 0.076
11 Zn 0.665 0.665 0.665
12 Zn 0.924 0.413 0.413

Values from the calculation:
DOS(E_F) ... 7.0 states/eV/f.u.
Space group ... R-3m
Formation enthalpy at 0 K ... -0.2837 eV per atom
Size of the total moment ... 0.00 μB per cell

# 4
Computed, not measured: an optimized crystal structure of TmZrNiRu at the PBE-GGA level of DFT.

abc: 4.665 4.665 4.665
angles: 60.00 60.00 60.00
Fractional positions:
1 Tm 0.000 0.000 0.000
2 Zr 0.500 0.500 0.500
3 Ni 0.750 0.750 0.750
4 Ru 0.250 0.250 0.250

Values from the calculation:
DOS(E_F) ... 2.4 states/eV/f.u.
Space group ... F-43m
Formation enthalpy at 0 K ... -0.4645 eV per atom
Size of the total moment ... 0.00 μB per cell

# 5
Computed, not measured: an optimized crystal structure of La2TiInAg at the PBE-GGA level of DFT.

abc: 5.765 5.765 4.992
angles: 90.00 90.00 90.00
Fractional positions:
1 La 0.000 0.500 0.000
2 La 0.500 0.000 0.000
3 Ti 0.000 0.000 0.500
4 In 0.500 0.500 0.500
5 Ag 0.000 0.000 0.000

Values from the calculation:
DOS(E_F) ... 9.5 states/eV/f.u.
Space group ... P4/mmm
Formation enthalpy at 0 K ... 0.3979 eV per atom
Size of the total moment ... 0.00 μB per cell